Record 1
LiEr4Pt | PBE | relaxed Values from VASP.

The structure in Quantum ESPRESSO input format:
```
&SYSTEM
  ibrav = 0, nat = 12, ntyp = 3
/
ATOMIC_SPECIES
Li 6.94 Li.upf
Er 167.26 Er.upf
Pt 195.08 Pt.upf
ATOMIC_POSITIONS angstrom
Li 0.000 0.000 0.000
Li 0.000 5.024 1.807
Er 5.024 -2.635 2.263
Er 3.101 0.000 0.519
Er 6.947 0.000 0.519
Er 5.024 3.101 -1.288
Er 0.000 1.923 2.326
Er 2.390 5.024 0.456
Er 2.635 0.000 4.070
Er 5.024 2.635 2.263
Pt 5.024 0.000 2.582
Pt 0.000 0.000 4.389
CELL_PARAMETERS angstrom
-5.024 5.024 3.614
5.024 -5.024 3.614
5.024 5.024 -3.614
```

## Properties
As for the space group: I4_1md (109). As for the calculated formation energy: -115 meV per atom. For the calculated volume, the calculation gives 182.4 Å³/f.u. Its crystal system is tetragonal.

=====

Record 2
LiErPt2 | PBE | relaxed Values from VASP.

The structure in Quantum ESPRESSO input format:
```
&SYSTEM
  ibrav = 0, nat = 4, ntyp = 3
/
ATOMIC_SPECIES
Li 6.94 Li.upf
Er 167.26 Er.upf
Pt 195.08 Pt.upf
ATOMIC_POSITIONS angstrom
Li 0.000 0.000 0.000
Er 2.103 2.103 0.000
Pt 0.000 2.103 1.937
Pt 2.103 0.000 1.937
CELL_PARAMETERS angstrom
4.206 0.000 0.000
0.000 4.206 0.000
0.000 0.000 3.875
```

## Properties
As for the space group: P4/mmm (123). As for the calculated formation energy: -985 meV per atom. For the calculated volume, the calculation gives 68.5 Å³/f.u. Its crystal system is tetragonal.

=====

Record 3
LiErPt2 | PBE | relaxed Values from VASP.

The structure in Quantum ESPRESSO input format:
```
&SYSTEM
  ibrav = 0, nat = 4, ntyp = 3
/
ATOMIC_SPECIES
Li 6.94 Li.upf
Er 167.26 Er.upf
Pt 195.08 Pt.upf
ATOMIC_POSITIONS angstrom
Li 0.000 0.000 0.000
Er 0.000 0.000 2.929
Pt 1.724 1.724 1.364
Pt 1.724 1.724 4.494
CELL_PARAMETERS angstrom
3.448 0.000 0.000
0.000 3.448 0.000
0.000 0.000 5.858
```

## Properties
As for the space group: P4/mmm (123). As for the calculated formation energy: -1002 meV per atom. For the calculated volume, the calculation gives 69.6 Å³/f.u. Its crystal system is tetragonal.

=====

Record 4
LiErPt | PBE | relaxed Values from VASP.

The structure in Quantum ESPRESSO input format:
```
&SYSTEM
  ibrav = 0, nat = 3, ntyp = 3
/
ATOMIC_SPECIES
Li 6.94 Li.upf
Er 167.26 Er.upf
Pt 195.08 Pt.upf
ATOMIC_POSITIONS angstrom
Li 0.000 0.000 0.000
Er 2.139 1.235 1.808
Pt 0.000 2.470 0.000
CELL_PARAMETERS angstrom
4.278 0.000 0.000
-2.139 3.705 0.000
0.000 0.000 3.616
```

## Properties
As for the space group: P-6m2 (187). For the relative energy among the computed polymorphs, the calculation gives 0.144 eV/atom. As for the calculated formation energy: -760 meV per atom. For the calculated volume, the calculation gives 57.3 Å³/f.u. Its crystal system is hexagonal.

=====

Record 5
LiEr2Pt9 | PBE | relaxed Values from VASP.

The structure in Quantum ESPRESSO input format:
```
&SYSTEM
  ibrav = 0, nat = 12, ntyp = 3
/
ATOMIC_SPECIES
Li 6.94 Li.upf
Er 167.26 Er.upf
Pt 195.08 Pt.upf
ATOMIC_POSITIONS angstrom
Li 0.000 0.000 0.000
Er 0.000 0.000 3.906
Er 0.000 0.000 8.085
Pt 0.000 2.026 1.831
Pt 0.000 2.026 5.995
Pt 0.000 2.026 10.160
Pt 2.026 0.000 1.831
Pt 2.026 0.000 5.995
Pt 2.026 0.000 10.160
Pt 2.026 2.026 0.000
Pt 2.026 2.026 3.927
Pt 2.026 2.026 8.063
CELL_PARAMETERS angstrom
4.052 0.000 0.000
0.000 4.052 0.000
0.000 0.000 11.991
```

## Properties
As for the space group: P4/mmm (123). As for the calculated formation energy: -823 meV per atom. For the calculated volume, the calculation gives 196.9 Å³/f.u. Its crystal system is tetragonal.

=====

Record 6
LiErPt | PBE | relaxed Values from VASP.

The structure in Quantum ESPRESSO input format:
```
&SYSTEM
  ibrav = 0, nat = 12, ntyp = 3
/
ATOMIC_SPECIES
Li 6.94 Li.upf
Er 167.26 Er.upf
Pt 195.08 Pt.upf
ATOMIC_POSITIONS angstrom
Li 0.000 0.000 0.000
Li 0.000 3.230 3.230
Li 3.230 0.000 3.230
Li 3.230 3.230 0.000
Er 0.000 0.000 3.230
Er 0.000 3.230 0.000
Er 3.230 0.000 0.000
Er 3.230 3.230 3.230
Pt 1.615 1.615 4.845
Pt 1.615 4.845 1.615
Pt 4.845 1.615 1.615
Pt 4.845 4.845 4.845
CELL_PARAMETERS angstrom
6.460 0.000 0.000
0.000 6.460 0.000
0.000 0.000 6.460
```

## Properties
As for the space group: F-43m (216). For the relative energy among the computed polymorphs, the calculation gives 0.149 eV/atom. As for the calculated formation energy: -754 meV per atom. For the calculated volume, the calculation gives 67.4 Å³/f.u. Its crystal system is cubic.

=====

Record 7
Li2ErPuPt2 | PBE | relaxed Values from VASP.

The structure in Quantum ESPRESSO input format:
```
&SYSTEM
  ibrav = 0, nat = 6, ntyp = 4
/
ATOMIC_SPECIES
Li 6.94 Li.upf
Er 167.26 Er.upf
Pu 244.00 Pu.upf
Pt 195.08 Pt.upf
ATOMIC_POSITIONS angstrom
Li 0.000 2.537 1.611
Li 2.197 1.268 5.242
Er 0.000 0.000 0.000
Pu 0.000 0.000 3.426
Pt 0.000 2.537 5.135
Pt 2.197 1.268 1.718
CELL_PARAMETERS angstrom
4.394 0.000 0.000
-2.197 3.805 0.000
0.000 0.000 6.853
```

## Properties
As for the space group: P-3m1 (164). As for the calculated formation energy: -654 meV per atom. For the calculated volume, the calculation gives 114.6 Å³/f.u. Its crystal system is trigonal.

=====

Record 8
LiErPtRh | PBE | relaxed Values from VASP.

The structure in Quantum ESPRESSO input format:
```
&SYSTEM
  ibrav = 0, nat = 16, ntyp = 4
/
ATOMIC_SPECIES
Li 6.94 Li.upf
Er 167.26 Er.upf
Pt 195.08 Pt.upf
Rh 102.91 Rh.upf
ATOMIC_POSITIONS angstrom
Li 0.000 0.000 0.000
Li 0.000 3.235 3.235
Li 3.235 0.000 3.235
Li 3.235 3.235 0.000
Er 0.000 0.000 3.235
Er 0.000 3.235 0.000
Er 3.235 0.000 0.000
Er 3.235 3.235 3.235
Pt 1.617 1.617 4.852
Pt 1.617 4.852 1.617
Pt 4.852 1.617 1.617
Pt 4.852 4.852 4.852
Rh 1.617 1.617 1.617
Rh 1.617 4.852 4.852
Rh 4.852 1.617 4.852
Rh 4.852 4.852 1.617
CELL_PARAMETERS angstrom
6.469 0.000 0.000
0.000 6.469 0.000
0.000 0.000 6.469
```

## Properties
As for the space group: F-43m (216). For the relative energy among the computed polymorphs, the calculation gives 0.025 eV/atom. As for the calculated formation energy: -759 meV per atom. For the calculated volume, the calculation gives 67.7 Å³/f.u. Its crystal system is cubic.

=====

Record 9
LiErPtRh | PBE | relaxed Values from VASP.

The structure in Quantum ESPRESSO input format:
```
&SYSTEM
  ibrav = 0, nat = 4, ntyp = 4
/
ATOMIC_SPECIES
Li 6.94 Li.upf
Er 167.26 Er.upf
Pt 195.08 Pt.upf
Rh 102.91 Rh.upf
ATOMIC_POSITIONS angstrom
Li 0.000 0.000 0.000
Er 0.000 2.055 2.156
Pt 1.882 2.055 0.000
Rh 1.882 0.000 2.156
CELL_PARAMETERS angstrom
3.764 0.000 0.000
0.000 4.111 0.000
0.000 0.000 4.312
```

## Properties
As for the space group: Pmmm (47). For the relative energy among the computed polymorphs, the calculation gives 0.000 eV/atom. As for the calculated formation energy: -784 meV per atom. For the calculated volume, the calculation gives 66.7 Å³/f.u. Its crystal system is orthorhombic.

=====

Record 10
LiErSbPt | PBE | relaxed Values from VASP.

The structure in Quantum ESPRESSO input format:
```
&SYSTEM
  ibrav = 0, nat = 16, ntyp = 4
/
ATOMIC_SPECIES
Li 6.94 Li.upf
Er 167.26 Er.upf
Sb 121.76 Sb.upf
Pt 195.08 Pt.upf
ATOMIC_POSITIONS angstrom
Li 0.000 0.000 0.000
Li 0.000 3.393 3.393
Li 3.393 0.000 3.393
Li 3.393 3.393 0.000
Er 1.697 1.697 5.090
Er 1.697 5.090 1.697
Er 5.090 1.697 1.697
Er 5.090 5.090 5.090
Sb 1.697 1.697 1.697
Sb 1.697 5.090 5.090
Sb 5.090 1.697 5.090
Sb 5.090 5.090 1.697
Pt 0.000 0.000 3.393
Pt 0.000 3.393 0.000
Pt 3.393 0.000 0.000
Pt 3.393 3.393 3.393
CELL_PARAMETERS angstrom
6.787 0.000 0.000
0.000 6.787 0.000
0.000 0.000 6.787
```

## Properties
As for the space group: F-43m (216). The total DFT energy (no corrections) is -4.9099 eV/atom. For the calculated volume, the calculation gives 78.2 Å³/f.u. Its crystal system is cubic.